# 1
# Rb2RuI5

A relaxed Rb2RuI5 crystal (PBE-GGA, Alexandria via LeMat-Bulk).

Results
The formation energy (no corrections) is -5.4 eV per formula unit. Its space group is I4mm, No. 107. The calculation puts the volume at 725.42 Å³/cell. The uncorrected energy is -48.80 eV per cell.

Unit cell a=8.500 b=8.500 c=10.039 alpha=90.00 beta=90.00 gamma=90.00
Fractional coordinates of all 16 atoms:
Rb (0.000, 0.500, 0.000)
Rb (0.000, 0.500, 0.500)
Rb (0.500, 0.000, 0.000)
Rb (0.500, 0.000, 0.500)
Ru (0.000, 0.000, 0.280)
Ru (0.500, 0.500, 0.780)
I (0.000, 0.000, 0.535)
I (0.223, 0.223, 0.249)
I (0.223, 0.777, 0.249)
I (0.277, 0.277, 0.749)
I (0.277, 0.723, 0.749)
I (0.500, 0.500, 0.035)
I (0.723, 0.277, 0.749)
I (0.723, 0.723, 0.749)
I (0.777, 0.223, 0.249)
I (0.777, 0.777, 0.249)

=====

# 2
# Rb3RuI

A relaxed Rb3RuI crystal (PBE-GGA, Alexandria via LeMat-Bulk).

Results
The formation energy (no corrections) is 1.6 eV per formula unit. Its space group is Pm-3m, No. 221. The calculation puts the volume at 264.80 Å³/cell. The uncorrected energy is -12.12 eV per cell.

Unit cell a=6.422 b=6.422 c=6.422 alpha=90.00 beta=90.00 gamma=90.00
Fractional coordinates of all 5 atoms:
Rb (0.000, 0.000, 0.500)
Rb (0.000, 0.500, 0.000)
Rb (0.500, 0.000, 0.000)
Ru (0.000, 0.000, 0.000)
I (0.500, 0.500, 0.500)

=====

# 3
# RbRuI2

A relaxed RbRuI2 crystal (PBE-GGA, Alexandria via LeMat-Bulk).

Results
The formation energy (no corrections) is -0.6 eV per formula unit. Its space group is I-42d, No. 122. The calculation puts the volume at 567.89 Å³/cell. The uncorrected energy is -55.84 eV per cell.

Unit cell a=8.627 b=8.627 c=7.631 alpha=90.00 beta=90.00 gamma=90.00
Fractional coordinates of all 16 atoms:
Rb (0.000, 0.000, 0.000)
Rb (0.000, 0.500, 0.250)
Rb (0.500, 0.000, 0.750)
Rb (0.500, 0.500, 0.500)
Ru (0.000, 0.000, 0.500)
Ru (0.000, 0.500, 0.750)
Ru (0.500, 0.000, 0.250)
Ru (0.500, 0.500, 0.000)
I (0.139, 0.250, 0.625)
I (0.250, 0.639, 0.875)
I (0.250, 0.861, 0.375)
I (0.361, 0.250, 0.125)
I (0.639, 0.750, 0.125)
I (0.750, 0.139, 0.375)
I (0.750, 0.361, 0.875)
I (0.861, 0.750, 0.625)

=====

# 4
# RbRuI2

A relaxed RbRuI2 crystal (PBE-GGA, Alexandria via LeMat-Bulk).

Results
The formation energy (no corrections) is 1.0 eV per formula unit. Its space group is Fm-3m, No. 225. The calculation puts the volume at 516.55 Å³/cell. The uncorrected energy is -49.36 eV per cell.

Unit cell a=8.024 b=8.024 c=8.024 alpha=90.00 beta=90.00 gamma=90.00
Fractional coordinates of all 16 atoms:
Rb (0.000, 0.000, 0.000)
Rb (0.000, 0.500, 0.500)
Rb (0.500, 0.000, 0.500)
Rb (0.500, 0.500, 0.000)
Ru (0.000, 0.000, 0.500)
Ru (0.000, 0.500, 0.000)
Ru (0.500, 0.000, 0.000)
Ru (0.500, 0.500, 0.500)
I (0.250, 0.250, 0.250)
I (0.250, 0.250, 0.750)
I (0.250, 0.750, 0.250)
I (0.250, 0.750, 0.750)
I (0.750, 0.250, 0.250)
I (0.750, 0.250, 0.750)
I (0.750, 0.750, 0.250)
I (0.750, 0.750, 0.750)

=====

# 5
# Rb2RuI7

A relaxed Rb2RuI7 crystal (PBE-GGA, Alexandria via LeMat-Bulk).

Results
The formation energy (no corrections) is -5.0 eV per formula unit. Its space group is I4/mmm, No. 139. The calculation puts the volume at 474.01 Å³/cell. The uncorrected energy is -27.04 eV per cell.

Unit cell a=8.648 b=8.648 c=8.648 alpha=117.33 beta=117.33 gamma=94.69
Fractional coordinates of all 10 atoms:
Rb (0.250, 0.750, 0.500)
Rb (0.750, 0.250, 0.500)
Ru (0.000, 0.000, 0.000)
I (0.213, 0.213, 0.425)
I (0.213, 0.787, 0.000)
I (0.239, 0.239, 0.000)
I (0.500, 0.500, 0.000)
I (0.761, 0.761, 0.000)
I (0.787, 0.213, 0.000)
I (0.787, 0.787, 0.575)

=====

# 6
# RbRuI3

A relaxed RbRuI3 crystal (PBE-GGA, Alexandria via LeMat-Bulk).

Results
The formation energy (no corrections) is -1.6 eV per formula unit. Its space group is Pm-3m, No. 221. The calculation puts the volume at 176.08 Å³/cell. The uncorrected energy is -16.50 eV per cell.

Unit cell a=5.605 b=5.605 c=5.605 alpha=90.00 beta=90.00 gamma=90.00
Fractional coordinates of all 5 atoms:
Rb (0.000, 0.000, 0.000)
Ru (0.500, 0.500, 0.500)
I (0.000, 0.500, 0.500)
I (0.500, 0.000, 0.500)
I (0.500, 0.500, 0.000)

=====

# 7
# RbRuI3

A relaxed RbRuI3 crystal (PBE-GGA, Alexandria via LeMat-Bulk).

Results
The formation energy (no corrections) is 4.6 eV per formula unit. Its space group is Pm-3m, No. 221. The calculation puts the volume at 299.39 Å³/cell. The uncorrected energy is -10.26 eV per cell.

Unit cell a=6.690 b=6.690 c=6.690 alpha=90.00 beta=90.00 gamma=90.00
Fractional coordinates of all 5 atoms:
Rb (0.000, 0.000, 0.000)
Ru (0.500, 0.500, 0.500)
I (0.000, 0.000, 0.500)
I (0.000, 0.500, 0.000)
I (0.500, 0.000, 0.000)

=====

# 8
# Rb2RuI6

A relaxed Rb2RuI6 crystal (PBE-GGA, Alexandria via LeMat-Bulk).

Results
The formation energy (no corrections) is -5.2 eV per formula unit. Its space group is P4_2/mnm, No. 136. The calculation puts the volume at 929.14 Å³/cell. The uncorrected energy is -51.42 eV per cell.

Unit cell a=7.788 b=7.788 c=15.320 alpha=90.00 beta=90.00 gamma=90.00
Fractional coordinates of all 18 atoms:
Rb (0.000, 0.000, 0.168)
Rb (0.000, 0.000, 0.832)
Rb (0.500, 0.500, 0.332)
Rb (0.500, 0.500, 0.668)
Ru (0.000, 0.000, 0.500)
Ru (0.500, 0.500, 0.000)
I (0.173, 0.173, 0.373)
I (0.173, 0.173, 0.627)
I (0.247, 0.753, 0.500)
I (0.253, 0.253, 0.000)
I (0.327, 0.673, 0.127)
I (0.327, 0.673, 0.873)
I (0.673, 0.327, 0.127)
I (0.673, 0.327, 0.873)
I (0.747, 0.747, 0.000)
I (0.753, 0.247, 0.500)
I (0.827, 0.827, 0.373)
I (0.827, 0.827, 0.627)

=====

# 9
# Rb2SbRuI6

A relaxed Rb2SbRuI6 crystal (PBE-GGA, Alexandria via LeMat-Bulk).

Results
The formation energy (no corrections) is -5.1 eV per formula unit. Its space group is I4/mmm, No. 139. The calculation puts the volume at 402.98 Å³/cell. The uncorrected energy is -29.75 eV per cell.

Unit cell a=8.300 b=8.300 c=8.300 alpha=120.21 beta=120.21 gamma=89.64
Fractional coordinates of all 10 atoms:
Rb (0.250, 0.750, 0.500)
Rb (0.750, 0.250, 0.500)
Sb (0.000, 0.000, 0.000)
Ru (0.500, 0.500, 0.000)
I (0.264, 0.264, 0.000)
I (0.264, 0.264, 0.527)
I (0.264, 0.736, 0.000)
I (0.736, 0.264, 0.000)
I (0.736, 0.736, 0.000)
I (0.736, 0.736, 0.473)

=====

# 10
# RbSbRuI2

A relaxed RbSbRuI2 crystal (PBE-GGA, Alexandria via LeMat-Bulk).

Results
The formation energy (no corrections) is 7.4 eV per formula unit. Its space group is P4/mmm, No. 123. The calculation puts the volume at 264.43 Å³/cell. The uncorrected energy is -10.06 eV per cell.

Unit cell a=6.469 b=6.469 c=6.319 alpha=90.00 beta=90.00 gamma=90.00
Fractional coordinates of all 5 atoms:
Rb (0.000, 0.000, 0.000)
Sb (0.000, 0.000, 0.500)
Ru (0.500, 0.500, 0.500)
I (0.000, 0.500, 0.000)
I (0.500, 0.000, 0.000)

=====

# 11
# RbSbRuI2

A relaxed RbSbRuI2 crystal (PBE-GGA, Alexandria via LeMat-Bulk).

Results
The formation energy (no corrections) is -0.9 eV per formula unit. Its space group is P4/mmm, No. 123. The calculation puts the volume at 170.38 Å³/cell. The uncorrected energy is -18.38 eV per cell.

Unit cell a=5.836 b=5.836 c=5.003 alpha=90.00 beta=90.00 gamma=90.00
Fractional coordinates of all 5 atoms:
Rb (0.000, 0.000, 0.000)
Sb (0.500, 0.500, 0.000)
Ru (0.500, 0.500, 0.500)
I (0.000, 0.500, 0.500)
I (0.500, 0.000, 0.500)

=====

# 12
# Rb2ScRuI6

A relaxed Rb2ScRuI6 crystal (PBE-GGA, Alexandria via LeMat-Bulk).

Results
The formation energy (no corrections) is -8.0 eV per formula unit. Its space group is I4/mmm, No. 139. The calculation puts the volume at 374.69 Å³/cell. The uncorrected energy is -34.88 eV per cell.

Unit cell a=8.090 b=8.090 c=8.090 alpha=119.96 beta=119.96 gamma=90.07
Fractional coordinates of all 10 atoms:
Rb (0.250, 0.750, 0.500)
Rb (0.750, 0.250, 0.500)
Sc (0.000, 0.000, 0.000)
Ru (0.500, 0.500, 0.000)
I (0.256, 0.256, 0.000)
I (0.256, 0.256, 0.511)
I (0.256, 0.744, 0.000)
I (0.744, 0.256, 0.000)
I (0.744, 0.744, 0.000)
I (0.744, 0.744, 0.489)

=====

Which of these has the highest formation energy (no corrections)? number 10

=====

Among the records above, which one has the highest formation energy (no corrections)? number 10

=====

Which value of uncorrected energy does entry 10 give? -10.06 eV per cell

=====

Which formula does entry 5 have? Rb2RuI7